First-principles (PBE) data for a relaxed structure of Dy2TmGa3Cu2Ni, as listed in OQMD via LeMat-Bulk.

## Properties
**Uncorrected energy**: -4.51 eV per atom
**Size of the total moment**: 0.00 μB/f.u.

```
Dy2TmGa3Cu2Ni
1.0
3.978 0.000 0.000
0.000 5.992 3.456
0.000 -5.992 3.456
Dy Tm Ga Cu Ni
2 1 3 2 1
Direct
0.000 0.205 0.795 Dy
0.000 0.795 0.205 Dy
0.000 0.385 0.385 Tm
0.500 0.031 0.031 Ga
0.500 0.557 0.793 Ga
0.500 0.793 0.557 Ga
0.500 0.131 0.460 Cu
0.500 0.460 0.131 Cu
0.000 0.792 0.792 Ni
```

=====

First-principles (PBE) data for a relaxed structure of DyTm2Ga3Cu2Ni, as listed in OQMD via LeMat-Bulk.

## Properties
**Uncorrected energy**: -4.50 eV per atom
**Size of the total moment**: 0.00 μB/f.u.

```
DyTm2Ga3Cu2Ni
1.0
3.958 0.000 0.000
0.000 5.963 3.446
0.000 -5.963 3.446
Dy Tm Ga Cu Ni
1 2 3 2 1
Direct
0.000 0.000 0.000 Dy
0.000 0.178 0.589 Tm
0.000 0.589 0.178 Tm
0.500 0.355 0.355 Ga
0.500 0.588 0.822 Ga
0.500 0.822 0.588 Ga
0.500 0.258 0.921 Cu
0.500 0.921 0.258 Cu
0.000 0.586 0.586 Ni
```

=====

First-principles (PBE) data for a relaxed structure of DyGa2CuPt, as listed in OQMD via LeMat-Bulk.

## Properties
**Uncorrected energy**: -4.76 eV per atom
**Size of the total moment**: 0.00 μB/f.u.
**Distance to the lowest polymorph of the same formula**: 24 meV/atom

```
DyGa2CuPt
1.0
4.099 0.000 0.000
0.000 4.099 0.000
0.000 0.000 10.464
Dy Ga Cu Pt
2 4 2 2
Direct
0.250 0.250 0.248 Dy
0.750 0.750 0.752 Dy
0.250 0.250 0.644 Ga
0.250 0.750 0.000 Ga
0.750 0.250 0.000 Ga
0.750 0.750 0.356 Ga
0.250 0.250 0.868 Cu
0.750 0.750 0.132 Cu
0.250 0.750 0.500 Pt
0.750 0.250 0.500 Pt
```

=====

First-principles (PBE) data for a relaxed structure of DyGa2CuPt, as listed in OQMD via LeMat-Bulk.

## Properties
**Uncorrected energy**: -4.79 eV per atom
**Size of the total moment**: 0.01 μB/f.u.
**Distance to the lowest polymorph of the same formula**: 0 meV/atom

```
DyGa2CuPt
1.0
4.148 0.000 0.000
0.000 4.148 0.000
0.000 0.000 10.532
Dy Ga Cu Pt
2 4 2 2
Direct
0.250 0.250 0.246 Dy
0.750 0.750 0.754 Dy
0.250 0.250 0.877 Ga
0.250 0.750 0.500 Ga
0.750 0.250 0.500 Ga
0.750 0.750 0.123 Ga
0.250 0.750 0.000 Cu
0.750 0.250 0.000 Cu
0.250 0.250 0.642 Pt
0.750 0.750 0.358 Pt
```

=====

First-principles (PBE) data for a relaxed structure of DyTm2Ga4Cu, as listed in OQMD via LeMat-Bulk.

## Properties
**Uncorrected energy**: -4.07 eV per atom
**Size of the total moment**: 0.02 μB/f.u.

```
DyTm2Ga4Cu
1.0
6.408 0.000 0.000
0.000 3.955 0.000
0.000 0.000 13.392
Dy Tm Ga Cu
2 4 8 2
Direct
0.000 0.000 0.000 Dy
0.000 0.500 0.500 Dy
0.000 0.000 0.271 Tm
0.000 0.500 0.771 Tm
0.500 0.000 0.812 Tm
0.500 0.500 0.312 Tm
0.236 0.000 0.637 Ga
0.236 0.500 0.137 Ga
0.306 0.000 0.445 Ga
0.306 0.500 0.945 Ga
0.694 0.000 0.445 Ga
0.694 0.500 0.945 Ga
0.764 0.000 0.637 Ga
0.764 0.500 0.137 Ga
0.500 0.000 0.090 Cu
0.500 0.500 0.590 Cu
```

=====

First-principles (PBE) data for a relaxed structure of DyTmGa2Cu4, as listed in OQMD via LeMat-Bulk.

## Properties
**Uncorrected energy**: -4.12 eV per atom
**Size of the total moment**: 0.01 μB/f.u.

```
DyTmGa2Cu4
1.0
4.264 0.000 0.000
-2.132 3.692 0.000
0.000 0.000 8.587
Dy Tm Ga Cu
1 1 2 4
Direct
0.000 0.000 0.000 Dy
0.667 0.333 0.500 Tm
0.333 0.667 0.252 Ga
0.333 0.667 0.748 Ga
0.000 0.000 0.334 Cu
0.000 0.000 0.666 Cu
0.667 0.333 0.173 Cu
0.667 0.333 0.827 Cu
```